A geometry-optimized AsS structure. Source: the Alexandria database, functional PBE-GGA.

a = 14.8353 Å, b = 7.1310 Å, c = 10.4522 Å
α = 64.85°, β = 90.00°, γ = 90.00°
Sites, in units of the cell vectors:
S  0.0140  0.8968  0.2134
S  0.2791  0.5687  0.2488
S  0.4938  0.6168  0.1501
S  0.9860  0.1032  0.7866
S  0.2016  0.0540  0.8873
S  0.5062  0.3832  0.8499
S  0.2984  0.0540  0.3873
S  0.2209  0.5687  0.7488
S  0.7016  0.9460  0.6127
S  0.7791  0.4313  0.2512
S  0.5140  0.1032  0.2866
S  0.0062  0.6168  0.6501
S  0.7209  0.4313  0.7512
S  0.9938  0.3832  0.3499
S  0.4860  0.8968  0.7134
S  0.7984  0.9460  0.1127
As  0.8380  0.6855  0.0559
As  0.5089  0.3517  0.3666
As  0.1388  0.5400  0.5757
As  0.3764  0.1346  0.1855
As  0.8612  0.4600  0.4243
As  0.9911  0.3517  0.8666
As  0.3380  0.3145  0.4441
As  0.1620  0.3145  0.9441
As  0.3612  0.5400  0.0757
As  0.6388  0.4600  0.9243
As  0.6236  0.8654  0.8145
As  0.1236  0.1346  0.6855
As  0.8764  0.8654  0.3145
As  0.0089  0.6483  0.1334
As  0.4911  0.6483  0.6334
As  0.6620  0.6855  0.5559

Summary:
Formation energy without anion corrections: -0.140 eV/atom
Size of the total moment: 0.00 μB per cell
Distance to the lowest polymorph of the same formula: 0 meV/atom

***

A geometry-optimized AsS structure. Source: the Alexandria database, functional PBE-GGA.

a = 3.4135 Å, b = 3.3867 Å, c = 8.6060 Å
α = 90.00°, β = 90.35°, γ = 90.00°
Sites, in units of the cell vectors:
As  0.7521  0.7500  0.6217
As  0.2479  0.2500  0.3783
S  0.7548  0.2500  0.7990
S  0.2452  0.7500  0.2010

Summary:
Formation energy without anion corrections: 0.060 eV/atom
Size of the total moment: 0.00 μB per cell
Distance to the lowest polymorph of the same formula: 199 meV/atom

***

A geometry-optimized As8S9 structure. Source: the Alexandria database, functional PBE-GGA.

a = 10.3589 Å, b = 9.5398 Å, c = 10.8097 Å
α = 79.12°, β = 90.00°, γ = 90.00°
Sites, in units of the cell vectors:
As  0.7658  0.5625  0.0209
As  0.0344  0.8208  0.3855
As  0.6898  0.0716  0.4367
As  0.6898  0.4284  0.5633
As  0.5848  0.8433  0.8433
As  0.3102  0.5716  0.4367
As  0.5848  0.6567  0.1567
As  0.2342  0.0625  0.0209
As  0.9656  0.1792  0.6145
As  0.9656  0.3208  0.3855
As  0.4152  0.3433  0.8433
As  0.2342  0.4375  0.9791
As  0.4152  0.1567  0.1567
As  0.0344  0.6792  0.6145
As  0.7658  0.9375  0.9791
As  0.3102  0.9284  0.5633
S  0.1638  0.8205  0.7068
S  0.6748  0.6313  0.8292
S  0.5750  0.2500  0.5000
S  0.1662  0.0062  0.4056
S  0.3252  0.1313  0.8292
S  0.9022  0.7500  0.0000
S  0.8338  0.9938  0.5944
S  0.5523  0.2500  0.0000
S  0.3252  0.3687  0.1708
S  0.6748  0.8687  0.1708
S  0.1662  0.4938  0.5944
S  0.0978  0.2500  0.0000
S  0.8362  0.1795  0.2932
S  0.4477  0.7500  0.0000
S  0.8338  0.5062  0.4056
S  0.1638  0.6795  0.2932
S  0.8362  0.3205  0.7068
S  0.4250  0.7500  0.5000

Summary:
Formation energy without anion corrections: -0.135 eV/atom
Size of the total moment: 0.00 μB per cell

***

A geometry-optimized AsS8 structure. Source: the Alexandria database, functional PBE-GGA.

a = 7.3714 Å, b = 6.3327 Å, c = 7.6215 Å
α = 73.65°, β = 61.08°, γ = 54.41°
Sites, in units of the cell vectors:
S  0.7273  0.1958  0.3496
S  0.3576  0.2847  0.0000
S  0.3864  0.0000  0.2272
S  0.2727  0.8042  0.6504
S  0.6136  0.0000  0.7728
S  0.6424  0.7153  0.0000
S  0.9231  0.8042  0.3496
S  0.0769  0.1958  0.6504
As  0.0000  0.0000  0.0000

Summary:
Formation energy without anion corrections: 0.488 eV/atom
Size of the total moment: 1.12 μB per cell

***

A geometry-optimized AsS structure. Source: the Alexandria database, functional PBE-GGA.

a = 3.3542 Å, b = 8.5659 Å, c = 5.5743 Å
α = 53.20°, β = 90.08°, γ = 78.77°
Sites, in units of the cell vectors:
As  0.4121  0.6757  0.7574
As  0.5879  0.3243  0.2426
S  0.8626  0.7759  0.9219
S  0.1374  0.2241  0.0781

Summary:
Formation energy without anion corrections: -0.071 eV/atom
Size of the total moment: 0.00 μB per cell
Distance to the lowest polymorph of the same formula: 69 meV/atom

***

A geometry-optimized AsS structure. Source: the Alexandria database, functional PBE-GGA.

a = 7.2019 Å, b = 19.1499 Å, c = 8.1596 Å
α = 90.00°, β = 90.00°, γ = 90.00°
Sites, in units of the cell vectors:
S  0.5310  0.2500  0.7500
S  0.7810  0.0000  0.5000
S  0.9690  0.7500  0.2500
S  0.2190  0.5000  0.0000
S  0.9690  0.2500  0.7500
S  0.7810  0.5000  0.0000
S  0.2190  0.0000  0.5000
S  0.2810  0.0000  0.0000
S  0.4690  0.7500  0.7500
S  0.2810  0.5000  0.5000
S  0.4690  0.2500  0.2500
S  0.7190  0.0000  0.0000
S  0.0310  0.7500  0.7500
S  0.7190  0.5000  0.5000
S  0.0310  0.2500  0.2500
S  0.5310  0.7500  0.2500
As  0.0000  0.9162  0.5000
As  0.5000  0.4162  0.5000
As  0.2500  0.1662  0.2500
As  0.2500  0.8338  0.7500
As  0.7500  0.3338  0.7500
As  0.5000  0.5838  0.5000
As  0.0000  0.5838  0.0000
As  0.2500  0.3338  0.2500
As  0.7500  0.1662  0.7500
As  0.0000  0.4162  0.0000
As  0.2500  0.6662  0.7500
As  0.5000  0.9162  0.0000
As  0.0000  0.0838  0.5000
As  0.5000  0.0838  0.0000
As  0.7500  0.6662  0.2500
As  0.7500  0.8338  0.2500

Summary:
Formation energy without anion corrections: 0.130 eV/atom
Size of the total moment: 0.00 μB per cell
Distance to the lowest polymorph of the same formula: 270 meV/atom

***

A geometry-optimized AsS structure. Source: the Alexandria database, functional PBE-GGA.

a = 8.3655 Å, b = 8.3655 Å, c = 5.0913 Å
α = 90.00°, β = 90.00°, γ = 90.00°
Sites, in units of the cell vectors:
S  0.1923  0.5891  0.0000
S  0.0891  0.3077  0.5000
S  0.9109  0.6923  0.5000
S  0.8077  0.4109  0.0000
S  0.3077  0.9109  0.5000
S  0.4109  0.1923  0.0000
S  0.6923  0.0891  0.5000
S  0.5891  0.8077  0.0000
As  0.7278  0.0457  0.0000
As  0.4543  0.2278  0.5000
As  0.5457  0.7722  0.5000
As  0.2722  0.9543  0.0000
As  0.2278  0.5457  0.5000
As  0.9543  0.7278  0.0000
As  0.0457  0.2722  0.0000
As  0.7722  0.4543  0.5000

Summary:
Formation energy without anion corrections: 0.156 eV/atom
Size of the total moment: 0.00 μB per cell
Distance to the lowest polymorph of the same formula: 296 meV/atom

***

A geometry-optimized AsS structure. Source: the Alexandria database, functional PBE-GGA.

a = 3.3291 Å, b = 17.4941 Å, c = 5.5084 Å
α = 90.00°, β = 90.00°, γ = 90.00°
Sites, in units of the cell vectors:
S  0.5000  0.8479  0.7776
S  0.5000  0.0000  0.3034
S  0.5000  0.3479  0.2776
S  0.5000  0.6521  0.2776
S  0.5000  0.1521  0.7776
S  0.5000  0.5000  0.8034
As  0.0000  0.7431  0.2829
As  0.0000  0.0000  0.5776
As  0.0000  0.2431  0.7829
As  0.0000  0.7569  0.7829
As  0.0000  0.5000  0.0776
As  0.0000  0.2569  0.2829

Summary:
Formation energy without anion corrections: 0.022 eV/atom
Size of the total moment: 0.00 μB per cell
Distance to the lowest polymorph of the same formula: 162 meV/atom

***

A geometry-optimized AsS structure. Source: the Alexandria database, functional PBE-GGA.

a = 7.2087 Å, b = 7.2087 Å, c = 10.2684 Å
α = 80.30°, β = 80.30°, γ = 78.08°
Sites, in units of the cell vectors:
S  0.0599  0.9401  0.2500
S  0.9401  0.0599  0.7500
S  0.5152  0.1542  0.6423
S  0.1542  0.5152  0.1423
S  0.4848  0.8458  0.3577
S  0.4217  0.5783  0.7500
S  0.8458  0.4848  0.8577
S  0.5783  0.4217  0.2500
As  0.5746  0.7307  0.1611
As  0.7307  0.5746  0.6611
As  0.2693  0.4254  0.3389
As  0.4254  0.2693  0.8389
As  0.8054  0.2371  0.5757
As  0.2371  0.8054  0.0757
As  0.1946  0.7629  0.4243
As  0.7629  0.1946  0.9243

Summary:
Formation energy without anion corrections: -0.137 eV/atom
Size of the total moment: 0.00 μB per cell
Distance to the lowest polymorph of the same formula: 3 meV/atom

***

A geometry-optimized AsS structure. Source: the Alexandria database, functional PBE-GGA.

a = 5.9549 Å, b = 5.9549 Å, c = 5.9549 Å
α = 90.00°, β = 90.00°, γ = 90.00°
Sites, in units of the cell vectors:
S  0.2500  0.7500  0.7500
S  0.7500  0.2500  0.7500
S  0.7500  0.7500  0.2500
S  0.2500  0.2500  0.2500
As  0.5000  0.0000  0.5000
As  0.0000  0.5000  0.5000
As  0.0000  0.0000  0.0000
As  0.5000  0.5000  0.0000

Summary:
Formation energy without anion corrections: 0.483 eV/atom
Size of the total moment: 0.00 μB per cell
Distance to the lowest polymorph of the same formula: 623 meV/atom

***

A geometry-optimized AsS structure. Source: the Alexandria database, functional PBE-GGA.

a = 8.1241 Å, b = 8.1241 Å, c = 8.1241 Å
α = 90.00°, β = 90.00°, γ = 90.00°
Sites, in units of the cell vectors:
As  0.1493  0.8507  0.1493
As  0.8507  0.8507  0.8507
As  0.1493  0.1493  0.8507
As  0.3507  0.6493  0.6493
As  0.6493  0.3507  0.6493
As  0.3507  0.3507  0.3507
As  0.8507  0.1493  0.1493
As  0.6493  0.6493  0.3507
S  0.2988  0.7012  0.2988
S  0.2012  0.7988  0.7988
S  0.7988  0.7988  0.2012
S  0.7988  0.2012  0.7988
S  0.7012  0.2988  0.2988
S  0.2012  0.2012  0.2012
S  0.7012  0.7012  0.7012
S  0.2988  0.2988  0.7012

Summary:
Formation energy without anion corrections: 0.388 eV/atom
Size of the total moment: 0.00 μB per cell
Distance to the lowest polymorph of the same formula: 528 meV/atom

***

A geometry-optimized AsS structure. Source: the Alexandria database, functional PBE-GGA.

a = 4.4766 Å, b = 4.4766 Å, c = 5.3376 Å
α = 90.00°, β = 90.00°, γ = 120.00°
Sites, in units of the cell vectors:
S  0.3333  0.6667  0.2500
S  0.6667  0.3333  0.7500
As  0.6667  0.3333  0.2500
As  0.3333  0.6667  0.7500

Summary:
Formation energy without anion corrections: 0.386 eV/atom
Size of the total moment: 0.00 μB per cell
Distance to the lowest polymorph of the same formula: 526 meV/atom

***

A geometry-optimized AsS structure. Source: the Alexandria database, functional PBE-GGA.

a = 4.6266 Å, b = 4.6266 Å, c = 8.1944 Å
α = 89.30°, β = 98.75°, γ = 138.79°
Sites, in units of the cell vectors:
As  0.8232  0.8341  0.6574
As  0.1768  0.1659  0.3426
S  0.5393  0.2439  0.7832
S  0.4607  0.7561  0.2168

Summary:
Formation energy without anion corrections: 0.107 eV/atom
Size of the total moment: 0.00 μB per cell
Distance to the lowest polymorph of the same formula: 246 meV/atom

***

A geometry-optimized AsS structure. Source: the Alexandria database, functional PBE-GGA.

a = 7.2641 Å, b = 7.2641 Å, c = 7.2641 Å
α = 90.00°, β = 90.00°, γ = 90.00°
Sites, in units of the cell vectors:
S  0.7500  0.0000  0.5000
S  0.5000  0.2500  0.0000
S  0.5000  0.7500  0.0000
S  0.0000  0.5000  0.2500
S  0.0000  0.5000  0.7500
S  0.2500  0.0000  0.5000
As  0.5000  0.0000  0.2500
As  0.5000  0.0000  0.7500
As  0.7500  0.5000  0.0000
As  0.0000  0.2500  0.5000
As  0.0000  0.7500  0.5000
As  0.2500  0.5000  0.0000

Summary:
Formation energy without anion corrections: 0.579 eV/atom
Size of the total moment: 0.00 μB per cell
Distance to the lowest polymorph of the same formula: 719 meV/atom

***

A geometry-optimized SbAs3S structure. Source: the Alexandria database, functional PBE-GGA.

a = 4.8482 Å, b = 4.8482 Å, c = 4.8482 Å
α = 90.00°, β = 90.00°, γ = 90.00°
Sites, in units of the cell vectors:
As  0.5000  0.0000  0.0000
As  0.0000  0.0000  0.5000
As  0.0000  0.5000  0.0000
S  0.0000  0.0000  0.0000
Sb  0.5000  0.5000  0.5000

Summary:
Formation energy without anion corrections: 0.620 eV/atom
Size of the total moment: 0.00 μB per cell
Distance to the lowest polymorph of the same formula: 0 meV/atom

***

A geometry-optimized SbAs3S structure. Source: the Alexandria database, functional PBE-GGA.

a = 5.2573 Å, b = 5.2573 Å, c = 5.2573 Å
α = 90.00°, β = 90.00°, γ = 90.00°
Sites, in units of the cell vectors:
Sb  0.0000  0.0000  0.0000
As  0.5000  0.0000  0.0000
As  0.0000  0.5000  0.0000
As  0.0000  0.0000  0.5000
S  0.5000  0.5000  0.5000

Summary:
Formation energy without anion corrections: 1.298 eV/atom
Size of the total moment: 0.80 μB per cell
Distance to the lowest polymorph of the same formula: 678 meV/atom

***

A geometry-optimized Sb3AsS6 structure. Source: the Alexandria database, functional PBE-GGA.

a = 7.1279 Å, b = 9.4582 Å, c = 9.4582 Å
α = 111.42°, β = 90.00°, γ = 90.00°
Sites, in units of the cell vectors:
S  0.2810  0.0394  0.9606
S  0.6347  0.9278  0.3992
S  0.6957  0.2470  0.7530
S  0.7810  0.9606  0.0394
S  0.7158  0.3083  0.3551
S  0.2158  0.3551  0.3083
S  0.2158  0.6917  0.6449
S  0.1347  0.0722  0.6008
S  0.6347  0.6008  0.0722
S  0.1347  0.3992  0.9278
S  0.7158  0.6449  0.6917
S  0.1957  0.7530  0.2470
Sb  0.3874  0.3126  0.0648
Sb  0.0520  0.6048  0.3952
Sb  0.8874  0.0648  0.3126
Sb  0.8874  0.6874  0.9352
Sb  0.3874  0.9352  0.6874
Sb  0.5520  0.3952  0.6048
As  0.4808  0.8277  0.1723
As  0.9808  0.1723  0.8277

Summary:
Formation energy without anion corrections: -0.147 eV/atom
Size of the total moment: 0.00 μB per cell
Distance to the lowest polymorph of the same formula: 61 meV/atom

***

A geometry-optimized SbAs2S3 structure. Source: the Alexandria database, functional PBE-GGA.

a = 3.4126 Å, b = 9.1356 Å, c = 12.0855 Å
α = 93.56°, β = 90.00°, γ = 90.00°
Sites, in units of the cell vectors:
As  0.7500  0.1492  0.0717
As  0.7500  0.5036  0.6044
As  0.2500  0.4964  0.3956
As  0.2500  0.8508  0.9283
Sb  0.7500  0.2108  0.2980
Sb  0.2500  0.7892  0.7020
S  0.2500  0.0202  0.3174
S  0.2500  0.3807  0.6866
S  0.7500  0.9798  0.6826
S  0.7500  0.7004  0.9805
S  0.7500  0.6193  0.3134
S  0.2500  0.2996  0.0195

Summary:
Formation energy without anion corrections: -0.014 eV/atom
Size of the total moment: 0.00 μB per cell

***

A geometry-optimized Sb3AsS6 structure. Source: the Alexandria database, functional PBE-GGA.

a = 3.7909 Å, b = 11.0278 Å, c = 12.3387 Å
α = 90.00°, β = 90.00°, γ = 90.00°
Sites, in units of the cell vectors:
Sb  0.5000  0.7845  0.1379
Sb  0.0000  0.2748  0.3606
Sb  0.5000  0.4143  0.9584
Sb  0.0000  0.7252  0.8606
Sb  0.5000  0.2155  0.6379
Sb  0.5000  0.5857  0.4584
As  0.0000  0.9269  0.5514
As  0.0000  0.0731  0.0514
S  0.5000  0.4334  0.3012
S  0.5000  0.8107  0.6193
S  0.5000  0.1129  0.4593
S  0.0000  0.6288  0.0431
S  0.0000  0.0531  0.7001
S  0.5000  0.5666  0.8012
S  0.5000  0.1893  0.1193
S  0.5000  0.8871  0.9593
S  0.0000  0.9469  0.2001
S  0.0000  0.7015  0.3686
S  0.0000  0.3712  0.5431
S  0.0000  0.2985  0.8686

Summary:
Formation energy without anion corrections: -0.208 eV/atom
Size of the total moment: 0.00 μB per cell
Distance to the lowest polymorph of the same formula: 0 meV/atom